[1]
Tb2SmTm2Mg5: relaxed, PBE.

The structure in CIF format:
```
data_Tb2SmTm2Mg5
_cell_length_a 10.5714
_cell_length_b 10.5714
_cell_length_c 5.0831
_cell_angle_alpha 90.00
_cell_angle_beta 90.00
_cell_angle_gamma 90.00
_space_group_name_H-M_alt 'P 1'
_space_group_IT_number 1
loop_
_space_group_symop_operation_xyz
'x,y,z'
loop_
_atom_site_label
_atom_site_fract_x
_atom_site_fract_y
_atom_site_fract_z
_atom_site_occupancy
Tb1 0.1779 0.3221 0.0000 1
Tb2 0.3221 0.8221 0.0000 1
Tb3 0.6779 0.1779 0.0000 1
Tb4 0.8221 0.6779 0.0000 1
Sm1 0.0000 0.0000 0.0000 1
Sm2 0.5000 0.5000 0.0000 1
Tm1 0.1180 0.6180 0.0000 1
Tm2 0.3820 0.1180 0.0000 1
Tm3 0.6180 0.8820 0.0000 1
Tm4 0.8820 0.3820 0.0000 1
Mg1 0.0000 0.5000 0.5000 1
Mg2 0.0746 0.8015 0.5000 1
Mg3 0.1985 0.0746 0.5000 1
Mg4 0.3015 0.5746 0.5000 1
Mg5 0.4254 0.3015 0.5000 1
Mg6 0.5000 0.0000 0.5000 1
Mg7 0.5746 0.6985 0.5000 1
Mg8 0.6985 0.4254 0.5000 1
Mg9 0.8015 0.9254 0.5000 1
Mg10 0.9254 0.1985 0.5000 1
```

Results
Symmetry: P4/mbm (127)
ΔH_f (0 K): 0.066 eV per atom


[2]
Mg3Ga3Pd2Rh: relaxed, PBE.

The structure in CIF format:
```
data_Mg3Ga3Pd2Rh
_cell_length_a 7.3864
_cell_length_b 7.3864
_cell_length_c 3.1323
_cell_angle_alpha 90.00
_cell_angle_beta 90.00
_cell_angle_gamma 120.00
_space_group_name_H-M_alt 'P 1'
_space_group_IT_number 1
loop_
_space_group_symop_operation_xyz
'x,y,z'
loop_
_atom_site_label
_atom_site_fract_x
_atom_site_fract_y
_atom_site_fract_z
_atom_site_occupancy
Mg1 0.0000 0.3843 0.0000 1
Mg2 0.3843 0.0000 0.0000 1
Mg3 0.6157 0.6157 0.0000 1
Ga1 0.0000 0.7185 0.5000 1
Ga2 0.2815 0.2815 0.5000 1
Ga3 0.7185 0.0000 0.5000 1
Pd1 0.3333 0.6667 0.5000 1
Pd2 0.6667 0.3333 0.5000 1
Rh1 0.0000 0.0000 0.0000 1
```

Results
Symmetry: P-62m (189)
ΔH_f (0 K): -0.583 eV per atom


[3]
KCa2ZnIn: relaxed, PBE.

The structure in CIF format:
```
data_KCa2ZnIn
_cell_length_a 6.1927
_cell_length_b 6.1927
_cell_length_c 5.2485
_cell_angle_alpha 90.00
_cell_angle_beta 90.00
_cell_angle_gamma 90.00
_space_group_name_H-M_alt 'P 1'
_space_group_IT_number 1
loop_
_space_group_symop_operation_xyz
'x,y,z'
loop_
_atom_site_label
_atom_site_fract_x
_atom_site_fract_y
_atom_site_fract_z
_atom_site_occupancy
K1 0.0000 0.0000 0.0000 1
Ca1 0.0000 0.5000 0.5000 1
Ca2 0.5000 0.0000 0.5000 1
Zn1 0.5000 0.5000 0.0000 1
In1 0.5000 0.5000 0.5000 1
```

Results
Symmetry: P4/mmm (123)
ΔH_f (0 K): 0.112 eV per atom


[4]
KCu2Pd: relaxed, PBE.

The structure in CIF format:
```
data_KCu2Pd
_cell_length_a 4.8593
_cell_length_b 4.8593
_cell_length_c 17.3409
_cell_angle_alpha 90.00
_cell_angle_beta 90.00
_cell_angle_gamma 90.00
_space_group_name_H-M_alt 'P 1'
_space_group_IT_number 1
loop_
_space_group_symop_operation_xyz
'x,y,z'
loop_
_atom_site_label
_atom_site_fract_x
_atom_site_fract_y
_atom_site_fract_z
_atom_site_occupancy
K1 0.0000 0.2500 0.3750 1
K2 0.0000 0.7500 0.6250 1
K3 0.5000 0.2500 0.1250 1
K4 0.5000 0.7500 0.8750 1
Cu1 0.0000 0.0000 0.0000 1
Cu2 0.0000 0.5000 0.0000 1
Cu3 0.2500 0.2500 0.7500 1
Cu4 0.2500 0.7500 0.2500 1
Cu5 0.5000 0.0000 0.5000 1
Cu6 0.5000 0.5000 0.5000 1
Cu7 0.7500 0.2500 0.7500 1
Cu8 0.7500 0.7500 0.2500 1
Pd1 0.0000 0.2500 0.8750 1
Pd2 0.0000 0.7500 0.1250 1
Pd3 0.5000 0.2500 0.6250 1
Pd4 0.5000 0.7500 0.3750 1
```

Results
Offset from the most stable computed form: 0.0 meV/atom
Symmetry: I4_1/amd (141)
ΔH_f (0 K): 0.316 eV per atom


[5]
NaCa3Rh: relaxed, PBE.

The structure in CIF format:
```
data_NaCa3Rh
_cell_length_a 10.5332
_cell_length_b 10.5332
_cell_length_c 10.5332
_cell_angle_alpha 60.00
_cell_angle_beta 60.00
_cell_angle_gamma 60.00
_space_group_name_H-M_alt 'P 1'
_space_group_IT_number 1
loop_
_space_group_symop_operation_xyz
'x,y,z'
loop_
_atom_site_label
_atom_site_fract_x
_atom_site_fract_y
_atom_site_fract_z
_atom_site_occupancy
Na1 0.0000 0.0000 0.0000 1
Na2 0.0000 0.0000 0.5000 1
Na3 0.0000 0.5000 0.0000 1
Na4 0.5000 0.0000 0.0000 1
Ca1 0.1900 0.1900 0.5600 1
Ca2 0.1900 0.5600 0.1900 1
Ca3 0.1900 0.5600 0.5600 1
Ca4 0.4400 0.4400 0.8100 1
Ca5 0.4400 0.8100 0.4400 1
Ca6 0.4400 0.8100 0.8100 1
Ca7 0.5600 0.1900 0.1900 1
Ca8 0.5600 0.1900 0.5600 1
Ca9 0.5600 0.5600 0.1900 1
Ca10 0.8100 0.4400 0.4400 1
Ca11 0.8100 0.4400 0.8100 1
Ca12 0.8100 0.8100 0.4400 1
Rh1 0.0000 0.5000 0.5000 1
Rh2 0.5000 0.0000 0.5000 1
Rh3 0.5000 0.5000 0.0000 1
Rh4 0.5000 0.5000 0.5000 1
```

Results
Offset from the most stable computed form: 112.3 meV/atom
Symmetry: Fd-3m (227)
ΔH_f (0 K): -0.092 eV per atom


[6]
SeS: relaxed, PBE.

The structure in CIF format:
```
data_SeS
_cell_length_a 4.1741
_cell_length_b 4.4038
_cell_length_c 7.4174
_cell_angle_alpha 73.92
_cell_angle_beta 74.76
_cell_angle_gamma 87.59
_space_group_name_H-M_alt 'P 1'
_space_group_IT_number 1
loop_
_space_group_symop_operation_xyz
'x,y,z'
loop_
_atom_site_label
_atom_site_fract_x
_atom_site_fract_y
_atom_site_fract_z
_atom_site_occupancy
Se1 0.0000 0.0000 0.0000 1
Se2 0.3888 0.6429 0.9994 1
S1 0.2045 0.1545 0.5906 1
S2 0.5501 0.8575 0.5905 1
```

Results
Offset from the most stable computed form: 149.9 meV/atom
Symmetry: P1 (1)
E_form (uncorrected): 0.39 eV/f.u.


Calculated total energy, -3.023, -4.094, -1.711, -3.305, -3.027, -3.612 eV/atom (same order as the records).